1.
This record from Alexandria describes a relaxed structure of Pr8AsSe6. The functional is PBE.

Cell lengths 10.7254, 10.7254, 4.3471 Å; angles 90.00, 90.00, 120.00 degrees
Space group P-3 (No. 147)
Symmetry-distinct sites (fractional):
Pr  0.0311  0.3125  0.2404 (multiplicity 6)
Pr  0.3333  0.6667  0.7533 (multiplicity 2)
As  0.0000  0.0000  0.0000 (multiplicity 1)
Se  0.1285  0.6481  0.2534 (multiplicity 6)

Calculated values
ΔE_f (raw), eV/f.u.: -21.0



2.
This record from Alexandria describes a relaxed structure of PrAsSe. The functional is PBE.

Cell lengths 4.047, 4.047, 18.239 Å; angles 90.00, 90.00, 90.00 degrees
Space group I4/mmm (No. 139)
Symmetry-distinct sites (fractional):
Pr  0.000  0.000  0.139 (multiplicity 4)
As  0.000  0.500  0.000 (multiplicity 4)
Se  0.000  0.000  0.312 (multiplicity 4)

Calculated values
ΔE_f (raw), eV/f.u.: -4.2



3.
This record from Alexandria describes a relaxed structure of Pr3AsSe. The functional is PBE.

Cell lengths 6.9574, 6.9574, 3.8505 Å; angles 90.00, 90.00, 120.00 degrees
Space group P-6 (No. 174)
Symmetry-distinct sites (fractional):
Pr  0.0013  0.3380  0.0000 (multiplicity 3)
As  0.3333  0.6667  0.5000 (multiplicity 1)
Se  0.0000  0.0000  0.5000 (multiplicity 1)

Calculated values
ΔE_f (raw), eV/f.u.: -5.2



4.
This record from Alexandria describes a relaxed structure of PrAsSe. The functional is PBE.

Cell lengths 18.199, 4.027, 4.115 Å; angles 90.00, 90.00, 90.00 degrees
Space group Pnma (No. 62)
Symmetry-distinct sites (fractional):
Pr  0.140  0.250  0.228 (multiplicity 4)
As  0.003  0.250  0.700 (multiplicity 4)
Se  0.187  0.750  0.731 (multiplicity 4)

Calculated values
ΔE_f (raw), eV/f.u.: -4.4